# 1
A relaxed HfCuO2 crystal, computed with GGA-PBE.

SG: Fm-3m
Total magnetization: 0.85 μB/cell
VASP energy: -7.36 eV per atom

Lattice parameters (Å, degrees): 3.8880 3.8880 3.8880 60.00 60.00 60.00
Fractional coordinates of all 4 atoms:
O1 0.7500 0.7500 0.7500
Hf1 0.5000 0.5000 0.5000
Cu1 0.0000 0.0000 0.0000
O2 0.2500 0.2500 0.2500

=====

# 2
A relaxed YTi2ZnH crystal, computed with GGA-PBE.

SG: P4/mmm
Total magnetization: 0.00 μB/cell
Excess energy over the best structure of this formula in the dataset: 0.0 meV/atom
VASP energy: -5.47 eV per atom

Lattice parameters (Å, degrees): 4.2158 4.2158 4.4881 90.00 90.00 90.00
Fractional coordinates of all 5 atoms:
Ti1 0.0000 0.5000 0.0000
Zn1 0.5000 0.5000 0.5000
Ti2 0.5000 0.0000 0.0000
H1 0.0000 0.0000 0.0000
Y1 0.0000 0.0000 0.5000

=====

# 3
A relaxed IrAuSN2 crystal, computed with GGA-PBE.

SG: P4/mmm
Total magnetization: 0.70 μB/cell
Excess energy over the best structure of this formula in the dataset: 1325.1 meV/atom
VASP energy: -4.35 eV per atom

Lattice parameters (Å, degrees): 3.6891 3.6891 7.9318 90.00 90.00 90.00
Fractional coordinates of all 5 atoms:
Ir1 0.5000 0.5000 0.5000
N1 0.0000 0.5000 0.0000
Au1 0.0000 0.0000 0.0000
S1 0.0000 0.0000 0.5000
N2 0.5000 0.0000 0.0000

=====

# 4
A relaxed Al2MoSe crystal, computed with GGA-PBE.

SG: P4mm
Total magnetization: 0.00 μB/cell
VASP energy: -5.49 eV per atom

Lattice parameters (Å, degrees): 3.0498 3.0498 7.5124 90.00 90.00 90.00
Fractional coordinates of all 4 atoms:
Se1 0.5000 0.5000 0.6997
Al1 0.0000 0.0000 0.0210
Al2 0.5000 0.5000 0.2721
Mo1 0.0000 0.0000 0.5071

=====

# 5
A relaxed ZrFeCo crystal, computed with GGA-PBE.

SG: P-6m2
Total magnetization: 1.69 μB/cell
Energy relative to the elements: -0.0867 eV per atom
VASP energy: -8.13 eV per atom

Lattice parameters (Å, degrees): 3.8013 3.8013 3.6731 90.00 90.00 120.00
Fractional coordinates of all 3 atoms:
Co1 0.0000 0.0000 0.1666
Zr1 0.3333 0.6667 0.6666
Fe1 0.6667 0.3333 0.1668

=====

# 6
A relaxed PaCo2H8Pd crystal, computed with GGA-PBE.

SG: P-3m1
Total magnetization: 0.00 μB/cell
VASP energy: -4.67 eV per atom

Lattice parameters (Å, degrees): 4.4942 4.4942 6.1313 90.00 90.00 120.00
Fractional coordinates of all 12 atoms:
H1 0.8233 0.6466 0.1851
H2 0.1767 0.3534 0.8149
H3 0.3333 0.6667 0.3776
H4 0.6667 0.3333 0.6224
Pa1 0.0000 0.0000 0.5000
H5 0.8233 0.1767 0.1851
H6 0.1767 0.8233 0.8149
Pd1 0.0000 0.0000 0.0000
H7 0.3534 0.1767 0.1851
Co1 0.6667 0.3333 0.3690
H8 0.6466 0.8233 0.8149
Co2 0.3333 0.6667 0.6310

=====

# 7
A relaxed AcErSn crystal, computed with GGA-PBE.

SG: I4/mmm
Total magnetization: 1.44 μB/cell
Energy relative to the elements: -0.5987 eV per atom
Excess energy over the best structure of this formula in the dataset: 0.0 meV/atom
VASP energy: -4.82 eV per atom

Lattice parameters (Å, degrees): 4.7946 4.7946 9.4749 104.66 104.66 90.00
Fractional coordinates of all 6 atoms:
Ac1 0.6761 0.6761 0.3522
Ac2 0.3239 0.3239 0.6478
Er1 0.5000 0.0000 0.0000
Sn1 0.1231 0.1231 0.2463
Er2 0.0000 0.5000 0.0000
Sn2 0.8769 0.8769 0.7537

=====

# 8
A relaxed BaTiHS2 crystal, computed with GGA-PBE.

SG: P4/mmm
Total magnetization: 0.91 μB/cell
VASP energy: -5.60 eV per atom

Lattice parameters (Å, degrees): 4.8966 4.8966 4.1143 90.00 90.00 90.00
Fractional coordinates of all 5 atoms:
S1 0.0000 0.5000 0.0000
Ba1 0.5000 0.5000 0.5000
S2 0.5000 0.0000 0.0000
Ti1 0.0000 0.0000 0.0000
H1 0.0000 0.0000 0.5000